Record 1
Computed, not measured: a relaxed structure of AlN3O at the GGA-PBE level of DFT.

Unit cell a=3.719 b=3.719 c=3.719 alpha=90.00 beta=90.00 gamma=90.00
Space group Pm-3m (No. 221)
Asymmetric unit:
Al 0.000 0.000 0.000 [1 per cell]
N 0.000 0.000 0.500 [3 per cell]
O 0.500 0.500 0.500 [1 per cell]

Record 2
Computed, not measured: a relaxed structure of Rb2CuAuO4 at the GGA-PBE level of DFT.

Unit cell a=5.840 b=13.817 c=19.171 alpha=90.00 beta=90.00 gamma=90.00
Space group Fddd (No. 70, origin choice 2)
Asymmetric unit:
Rb 0.125 0.125 0.293 [16 per cell]
Cu 0.125 0.125 0.125 [8 per cell]
Au 0.125 0.125 0.625 [8 per cell]
O 0.103 0.283 0.376 [32 per cell]

Record 3
Computed, not measured: a relaxed structure of Mg3SiNi9P2 at the GGA-PBE level of DFT.

Unit cell a=5.7160 b=5.7160 c=7.9480 alpha=90.00 beta=90.00 gamma=120.00
Space group P-3m1 (No. 164)
Asymmetric unit:
Mg 0.0000 0.0000 0.0000 [1 per cell]
Mg 0.3333 0.6667 0.7011 [2 per cell]
Si 0.0000 0.0000 0.5000 [1 per cell]
Ni 0.0000 0.5000 0.0000 [3 per cell]
Ni 0.1412 0.2824 0.2790 [6 per cell]
P 0.3333 0.6667 0.1763 [2 per cell]

Record 4
Computed, not measured: a relaxed structure of RbHoSn2Br8 at the GGA-PBE level of DFT.

Unit cell a=6.824 b=7.316 c=9.437 alpha=85.61 beta=87.66 gamma=87.44
Space group P-1 (No. 2)
Asymmetric unit:
Rb 0.000 0.000 0.000 [1 per cell]
Ho 0.000 0.000 0.500 [1 per cell]
Sn 0.485 0.481 0.251 [2 per cell]
Br 0.229 0.317 0.472 [2 per cell]
Br 0.236 0.836 0.293 [2 per cell]
Br 0.253 0.857 0.712 [2 per cell]
Br 0.271 0.377 0.036 [2 per cell]

Calculated density (computed, Mg/m³): 2.74 4.25 5.10 3.99
Spin magnetization (computed, Bohr magnetons per cell): 2.82 0.00 0.00 0.00
Formation energy (no corrections) (computed, meV per atom): 2005 -805 -229 -1275